Record 1
AcThZn2 (PBE, optimized geometry); calculated formation energy = -0.1915 eV/atom; theoretical density = 9043 kg/m³
1.0
-0.392 3.465 1.449
-1.766 -1.455 3.003
6.667 -0.736 3.565
Zn Ac Th
2 1 1
direct
0.000 0.000 0.774
0.000 0.000 0.226
0.500 0.500 0.500
0.500 0.500 0.000

=====

Record 2
Ac3ThZn4 (PBE, optimized geometry); calculated formation energy = -0.2112 eV/atom; theoretical density = 8577 kg/m³
1.0
-3.599 1.068 -0.801
0.502 -1.052 -3.658
-4.973 -14.207 3.403
Ac Zn Th
3 4 1
direct
0.500 0.500 0.500
0.500 0.500 0.759
0.500 0.500 0.241
0.000 0.000 0.371
0.000 0.000 0.629
0.000 0.000 0.891
0.000 0.000 0.109
0.500 0.500 0.000

=====

Record 3
AcTh2Zn6 (PBE, optimized geometry); calculated formation energy = -0.2611 eV/atom; theoretical density = 8844 kg/m³
1.0
1.375 -7.403 -2.831
4.573 -1.021 -6.538
2.947 -0.254 2.104
Zn Th Ac
6 2 1
direct
0.000 0.661 0.500
0.339 0.000 0.500
0.339 0.661 0.500
0.661 0.000 0.500
0.000 0.339 0.500
0.661 0.339 0.500
0.333 0.333 0.000
0.667 0.667 0.000
0.000 0.000 0.000